No. 1
KTe: relaxed, PBE-GGA.

For the uncorrected energy, the calculation gives -2.70 eV/atom. Its space group is I4_1/amd (141).

Cell: 6.7977 6.7977 6.7977 Å, 136.96 136.96 62.50°
With the nearest neighbours (Å) after each atom.
Fractional coordinates of all 4 atoms:
Te (0.5000, 0.5000, 0.0000)  8 K 3.53-3.83, 4 Te 3.83
Te (0.7500, 0.2500, 0.5000)  8 K 3.53-3.83, 4 Te 3.83
K (0.0000, 0.0000, 0.0000)  8 Te 3.53-3.83, 4 K 3.83
K (0.2500, 0.7500, 0.5000)  8 Te 3.53-3.83, 4 K 3.83

No. 2
KTe2: relaxed, PBE-GGA.

Its polymorph energy (0 for the lowest one) is 367 meV per atom. Its space group is P6_3/mmc (194).

Cell: 5.8477 5.8477 6.7328 Å, 90.00 90.00 120.00°
With the nearest neighbours (Å) after each atom.
Fractional coordinates of all 6 atoms:
K (0.3333, 0.6667, 0.7500)  5 Te 3.37-3.38
K (0.6667, 0.3333, 0.2500)  5 Te 3.37-3.38
Te (0.0000, 0.0000, 0.0000)  2 Te 3.37
Te (0.6667, 0.3333, 0.7500)  5 K 3.37-3.38
Te (0.3333, 0.6667, 0.2500)  5 K 3.37-3.38
Te (0.0000, 0.0000, 0.5000)  2 Te 3.37